First-principles (GGA+U) data for a relaxed structure of Li2CrSbO, as listed in Alexandria via LeMat-Bulk.

POSCAR file:
```
Li2CrSbO
1.0
4.1778 0.0000 0.0000
0.0000 4.1778 0.0000
0.0000 0.0000 4.1241
O Sb Cr Li
1 1 1 2
direct
0.0000 0.0000 0.0000
0.5000 0.5000 0.5000
0.0000 0.0000 0.5000
0.0000 0.5000 0.0000
0.5000 0.0000 0.0000
```

space group = P4/mmm, No. 123
total DFT energy (no corrections) = -5.086 eV/atom
crystal system = tetragonal